Material: SrCoNi3
Method: DFT, PBE
State: relaxed

Lattice parameters (Å, degrees): 4.464 4.464 4.464 90.00 90.00 90.00
Space group Pm-3m (No. 221)
Inequivalent atoms, fractional coordinates:
Sr1 0.000 0.000 0.000 x1
Co1 0.500 0.500 0.500 x1
Ni1 0.000 0.500 0.500 x3

Calculated values
Excess energy over the best structure of this formula in the dataset, kJ per mole of atoms: 0.0
Formation enthalpy at 0 K, kJ/mol of formula units: 205
M_tot, Bohr magnetons per cell: 3.47
ρ, Mg/m³: 6.02

***

Material: RbZr2TiCr
Method: DFT, PBE
State: relaxed

Lattice parameters (Å, degrees): 5.027 5.027 4.391 90.00 90.00 90.00
Space group P4/mmm (No. 123)
Inequivalent atoms, fractional coordinates:
Rb1 0.000 0.000 0.000 x1
Zr1 0.000 0.500 0.000 x2
Ti1 0.500 0.500 0.500 x1
Cr1 0.000 0.000 0.500 x1

Calculated values
Formation enthalpy at 0 K, kJ/mol of formula units: 1105
M_tot, Bohr magnetons per cell: 0.01
ρ, Mg/m³: 5.50